Zr2CrSe: optimized geometry, PBEsol.

Calculated values
The electronic total energy comes out at -31.56 eV/cell. Its density is 7.75 g cm⁻³. The crystal system is cubic. As for the space group: No. 216. The calculation puts the uncorrected formation energy at 0.177 eV per atom.

Unit cell a=4.563 b=4.563 c=4.563 alpha=60.00 beta=60.00 gamma=60.00
Element x y z (fractional)
Zr 0.000 0.000 0.000
Cr 0.500 0.500 0.500
Se 0.750 0.750 0.750
Zr 0.250 0.250 0.250